1.
Tb5InSb2: optimized geometry, PBE.

The value obtained for the uncorrected formation energy is -0.383 eV/atom.

It has space group Cmcm (No. 63), with a = 5.723 Å, b = 11.480 Å, c = 14.761 Å, α = 90.00°, β = 90.00° and γ = 90.00°. The inequivalent atoms are Tb at (0.000, 0.076, 0.098), Tb at (0.000, 0.378, 0.051), Tb at (0.000, 0.408, 0.750), In at (0.000, 0.295, 0.250) and Sb at (0.000, 0.201, 0.610).

2.
SrPmPu2S4: optimized geometry, PBE.

The value obtained for the uncorrected formation energy is -1.886 eV/atom.

It has space group P2/m (No. 10), with a = 7.024 Å, b = 4.042 Å, c = 7.035 Å, α = 90.00°, β = 109.35° and γ = 90.00°. The inequivalent atoms are Sr at (0.000, 0.000, 0.000), Pm at (0.000, 0.500, 0.500), Pu at (0.500, 0.000, 0.500), Pu at (0.500, 0.500, 0.000), S at (0.260, 0.000, 0.749) and S at (0.263, 0.500, 0.260).

3.
Pr4RhSeS2: optimized geometry, PBE.

The value obtained for the uncorrected formation energy is -1.583 eV/atom.

It has space group P2/m (No. 10), with a = 7.270 Å, b = 4.125 Å, c = 7.325 Å, α = 90.00°, β = 109.07° and γ = 90.00°. The inequivalent atoms are Pr at (0.241, 0.000, 0.240), Pr at (0.255, 0.500, 0.762), Rh at (0.500, 0.000, 0.000), Se at (0.500, 0.500, 0.500), S at (0.000, 0.000, 0.500) and S at (0.000, 0.500, 0.000).

4.
Pr3Dy4Er: optimized geometry, PBE.

The value obtained for the energy relative to the lowest polymorph listed for this composition is 0.00 eV/f.u. The formation energy comes out at 0.0034 eV/atom.

It has space group Pmn2_1 (No. 31), with a = 11.647 Å, b = 6.256 Å, c = 7.247 Å, α = 90.00°, β = 90.00° and γ = 90.00°. The inequivalent atoms are Pr at (0.000, 0.167, 0.000), Pr at (0.248, 0.497, 0.499), Dy at (0.000, 0.165, 0.500), Dy at (0.000, 0.667, 0.251), Dy at (0.250, 0.000, 0.250) and Er at (0.000, 0.666, 0.748).

5.
Na2MgZn9: optimized geometry, PBE.

The value obtained for the energy relative to the lowest polymorph listed for this composition is 0.11 eV/f.u. The formation energy comes out at -0.0083 eV/atom.

It has space group P6_3/mmc (No. 194), with a = 5.3152 Å, b = 5.3152 Å, c = 17.2473 Å, α = 90.00°, β = 90.00° and γ = 120.00°. The inequivalent atoms are Na at (0.3333, 0.6667, 0.0338), Mg at (0.3333, 0.6667, 0.2500), Zn at (0.0000, 0.0000, 0.0000), Zn at (0.0000, 0.0000, 0.2500), Zn at (0.1682, 0.3364, 0.6255) and Zn at (0.3333, 0.6667, 0.7500).

6.
CoRhSe: optimized geometry, PBE.

The value obtained for the energy relative to the lowest polymorph listed for this composition is 0.45 eV/f.u. The value obtained for the uncorrected formation energy is 0.198 eV/atom.

It has space group I4mm (No. 107), with a = 3.048 Å, b = 3.048 Å, c = 9.085 Å, α = 90.00°, β = 90.00° and γ = 90.00°. The inequivalent atoms are Co at (0.000, 0.000, 0.000), Rh at (0.000, 0.000, 0.316) and Se at (0.000, 0.000, 0.640).

Volume values, unit Å³ per cell, following the record order: 969.9 188.5 207.6 528.0 422.0 84.4.
Total DFT energy (no corrections) values, unit eV per cell, following the record order: -148.788 -66.695 -50.876 -74.565 -31.595 -34.694.